No. 1
{"formula": "Tb5Pr12Dy2", "functional": "PBE-GGA", "state": "relaxed", "lattice": [[-9.493, 4.254, 2.591], [3.205, -8.236, 3.087], [3.298, 3.285, 6.690]], "species": ["Tb", "Tb", "Tb", "Tb", "Tb", "Dy", "Dy", "Pr", "Pr", "Pr", "Pr", "Pr", "Pr", "Pr", "Pr", "Pr", "Pr", "Pr", "Pr"], "frac_coords": [[0.000, 0.000, 0.500], [0.242, 0.484, 0.514], [0.656, 0.313, 0.905], [0.344, 0.687, 0.095], [0.758, 0.516, 0.486], [0.270, 0.000, 0.000], [0.730, 0.000, 0.000], [0.166, 0.787, 0.385], [0.131, 0.261, 0.894], [0.834, 0.213, 0.615], [0.621, 0.787, 0.385], [0.039, 0.631, 0.792], [0.592, 0.631, 0.792], [0.445, 0.891, 0.713], [0.869, 0.739, 0.106], [0.961, 0.369, 0.208], [0.379, 0.213, 0.615], [0.408, 0.369, 0.208], [0.555, 0.109, 0.287]], "spacegroup": "No. 12", "m_tot_mub_per_fu": 0.00}


No. 2
{"formula": "Tb7Pr2Dy2", "functional": "PBE-GGA", "state": "relaxed", "lattice": [[0.088, -3.210, -7.424], [8.245, -4.385, -4.733], [-7.215, -3.459, 1.187]], "species": ["Tb", "Tb", "Tb", "Tb", "Tb", "Tb", "Tb", "Dy", "Dy", "Pr", "Pr"], "frac_coords": [[0.766, 0.321, 0.759], [0.000, 0.500, 0.000], [0.234, 0.679, 0.241], [0.241, 0.321, 0.234], [0.648, 0.079, 0.352], [0.759, 0.679, 0.766], [0.352, 0.921, 0.648], [0.714, 0.000, 0.714], [0.286, 0.000, 0.286], [0.216, 0.694, 0.784], [0.784, 0.306, 0.216]], "spacegroup": "No. 12", "m_tot_mub_per_fu": 0.00}


DFT formation energy: 0.125 0.148 (eV per atom)
E_tot: -87.33 -49.55 (eV per cell)